<1>
# AsPOs

AsPOs after structural relaxation (GGA-PBEsol, Alexandria).

Results
* M_tot: 0.00 μB/f.u.
* crystal system: tetragonal
* SG: I4mm

Cell lengths 2.888, 2.888, 6.052 Å; angles 103.80, 103.80, 90.00 degrees
Atoms (fractional coordinates):
1 P 0.298 0.298 0.597
2 As 0.024 0.024 0.049
3 Os 0.677 0.677 0.354



<2>
# AsPOs

AsPOs after structural relaxation (GGA-PBEsol, Alexandria).

Results
* M_tot: 0.00 μB/f.u.
* crystal system: cubic
* SG: F-43m

Cell lengths 4.128, 4.128, 4.128 Å; angles 60.00, 60.00, 60.00 degrees
Atoms (fractional coordinates):
1 P 0.500 0.500 0.500
2 As 0.250 0.250 0.250
3 Os 0.000 0.000 0.000



What should be chosen as the most stable of them? Choose <1>.



<1>
# AsPOs

AsPOs after structural relaxation (GGA-PBEsol, Alexandria).

Results
* M_tot: 0.00 μB/f.u.
* crystal system: orthorhombic
* SG: Fmm2

Cell lengths 2.832, 2.810, 7.208 Å; angles 84.32, 78.67, 59.75 degrees
Atoms (fractional coordinates):
1 P 0.693 0.000 0.615
2 As 0.982 0.000 0.036
3 Os 0.325 0.000 0.350



<2>
# AsPOs

AsPOs after structural relaxation (GGA-PBEsol, Alexandria).

Results
* M_tot: 0.00 μB/f.u.
* crystal system: trigonal
* SG: P3m1

Cell lengths 3.175, 3.175, 5.290 Å; angles 90.00, 90.00, 120.00 degrees
Atoms (fractional coordinates):
1 P 0.667 0.333 0.365
2 As 0.000 0.000 0.988
3 Os 0.333 0.667 0.647



What should be chosen as the most stable of them? Choose <2>.



<1>
# As2OsRh

As2OsRh after structural relaxation (GGA-PBEsol, Alexandria).

Results
* M_tot: 0.00 μB/f.u.
* crystal system: tetragonal
* SG: I4/mmm

Cell lengths 4.229, 4.406, 4.229 Å; angles 61.32, 90.00, 118.68 degrees
Atoms (fractional coordinates):
1 Rh 0.000 0.000 0.000
2 As 0.250 0.500 0.250
3 As 0.750 0.500 0.750
4 Os 0.500 0.000 0.500



<2>
# As2OsRh

As2OsRh after structural relaxation (GGA-PBEsol, Alexandria).

Results
* M_tot: 0.00 μB/f.u.
* crystal system: trigonal
* SG: R-3m

Cell lengths 2.962, 2.962, 7.889 Å; angles 79.18, 79.18, 60.00 degrees
Atoms (fractional coordinates):
1 Rh 0.000 0.000 0.000
2 As 0.250 0.250 0.250
3 As 0.750 0.750 0.750
4 Os 0.500 0.500 0.500



<3>
# As2OsRh

As2OsRh after structural relaxation (GGA-PBEsol, Alexandria).

Results
* M_tot: 0.00 μB/f.u.
* crystal system: monoclinic
* SG: Cm

Cell lengths 3.173, 4.580, 4.520 Å; angles 103.26, 90.00, 110.27 degrees
Atoms (fractional coordinates):
1 Rh 0.735 0.471 0.167
2 As 0.007 0.014 0.096
3 As 0.245 0.489 0.686
4 Os 0.513 0.026 0.551



<4>
# As2OsRh

As2OsRh after structural relaxation (GGA-PBEsol, Alexandria).

Results
* M_tot: 0.00 μB/f.u.
* crystal system: orthorhombic
* SG: Immm

Cell lengths 2.919, 5.059, 5.059 Å; angles 59.38, 73.23, 73.23 degrees
Atoms (fractional coordinates):
1 Rh 0.000 0.500 0.500
2 As 0.249 0.751 0.751
3 As 0.751 0.249 0.249
4 Os 0.500 0.000 0.000



What should be chosen as the most stable of them? Choose <2>.



<1>
# TeAsOs2

TeAsOs2 after structural relaxation (GGA-PBEsol, Alexandria).

Results
* M_tot: 0.00 μB/f.u.
* crystal system: tetragonal
* SG: I-4m2

Cell lengths 3.831, 3.831, 5.199 Å; angles 111.62, 111.62, 90.00 degrees
Atoms (fractional coordinates):
1 As 0.250 0.750 0.500
2 Te 0.500 0.500 0.000
3 Os 0.000 0.000 0.000
4 Os 0.750 0.250 0.500



<2>
# TeAsOs2

TeAsOs2 after structural relaxation (GGA-PBEsol, Alexandria).

Results
* M_tot: 0.00 μB/f.u.
* crystal system: cubic
* SG: Fm-3m

Cell lengths 4.499, 4.499, 4.499 Å; angles 60.00, 60.00, 60.00 degrees
Atoms (fractional coordinates):
1 As 0.500 0.500 0.500
2 Te 0.000 0.000 0.000
3 Os 0.250 0.250 0.250
4 Os 0.750 0.750 0.750



<3>
# TeAsOs2

TeAsOs2 after structural relaxation (GGA-PBEsol, Alexandria).

Results
* M_tot: 0.00 μB/f.u.
* crystal system: orthorhombic
* SG: Cmmm

Cell lengths 2.959, 2.992, 8.830 Å; angles 90.00, 90.00, 119.63 degrees
Atoms (fractional coordinates):
1 As 0.500 0.000 0.000
2 Te 0.500 0.000 0.500
3 Os 0.000 0.000 0.784
4 Os 0.000 0.000 0.216



What should be chosen as the most stable of them? Choose <2>.



<1>
# Te3AsOs

Te3AsOs after structural relaxation (GGA-PBEsol, Alexandria).

Results
* M_tot: 3.21 μB/f.u.
* crystal system: cubic
* SG: Pm-3m

Cell lengths 5.210, 5.210, 5.210 Å; angles 90.00, 90.00, 90.00 degrees
Atoms (fractional coordinates):
1 As 0.000 0.000 0.000
2 Te 0.000 0.500 0.000
3 Te 0.000 0.000 0.500
4 Te 0.500 0.000 0.000
5 Os 0.500 0.500 0.500



<2>
# Te3AsOs

Te3AsOs after structural relaxation (GGA-PBEsol, Alexandria).

Results
* M_tot: 0.00 μB/f.u.
* crystal system: cubic
* SG: Pm-3m

Cell lengths 5.125, 5.125, 5.125 Å; angles 90.00, 90.00, 90.00 degrees
Atoms (fractional coordinates):
1 As 0.500 0.500 0.500
2 Te 0.000 0.500 0.000
3 Te 0.000 0.000 0.500
4 Te 0.500 0.000 0.000
5 Os 0.000 0.000 0.000



What should be chosen as the most stable of them? Choose <2>.



<1>
# AsP

AsP after structural relaxation (GGA-PBEsol, Alexandria).

Results
* M_tot: 0.00 μB/f.u.
* crystal system: cubic
* SG: P2_13

Cell lengths 5.468, 5.468, 5.468 Å; angles 90.00, 90.00, 90.00 degrees
Atoms (fractional coordinates):
1 P 0.536 0.036 0.464
2 P 0.964 0.964 0.964
3 P 0.464 0.536 0.036
4 P 0.036 0.464 0.536
5 As 0.034 0.534 0.966
6 As 0.466 0.466 0.466
7 As 0.966 0.034 0.534
8 As 0.534 0.966 0.034



<2>
# AsP

AsP after structural relaxation (GGA-PBEsol, Alexandria).

Results
* M_tot: 0.00 μB/f.u.
* crystal system: monoclinic
* SG: C2/m

Cell lengths 3.560, 4.142, 5.598 Å; angles 90.28, 108.54, 90.00 degrees
Atoms (fractional coordinates):
1 P 0.102 0.956 0.205
2 P 0.898 0.044 0.795
3 As 0.384 0.426 0.767
4 As 0.616 0.574 0.233



What should be chosen as the most stable of them? Choose <2>.



<1>
# AsP

AsP after structural relaxation (GGA-PBEsol, Alexandria).

Results
* M_tot: 0.00 μB/f.u.
* crystal system: orthorhombic
* SG: Cmmm

Cell lengths 3.616, 5.144, 5.757 Å; angles 90.00, 108.30, 90.00 degrees
Atoms (fractional coordinates):
1 As 0.023 0.000 0.046
2 As 0.699 0.000 0.398
3 As 0.361 0.500 0.722
4 P 0.361 0.000 0.722
5 P 0.034 0.500 0.067
6 P 0.689 0.500 0.377



<2>
# AsP

AsP after structural relaxation (GGA-PBEsol, Alexandria).

Results
* M_tot: 0.00 μB/f.u.
* crystal system: orthorhombic
* SG: Imma

Cell lengths 3.251, 5.478, 5.820 Å; angles 118.07, 106.22, 90.00 degrees
Atoms (fractional coordinates):
1 P 0.164 0.914 0.328
2 P 0.836 0.086 0.672
3 As 0.511 0.261 0.023
4 As 0.489 0.739 0.977



<3>
# AsP

AsP after structural relaxation (GGA-PBEsol, Alexandria).

Results
* M_tot: 0.00 μB/f.u.
* crystal system: trigonal
* SG: R3m

Cell lengths 3.640, 3.640, 3.824 Å; angles 61.58, 61.58, 60.00 degrees
Atoms (fractional coordinates):
1 P 0.770 0.770 0.691
2 As 0.230 0.230 0.309



What should be chosen as the most stable of them? Choose <3>.



<1>
# AsP

AsP after structural relaxation (GGA-PBEsol, Alexandria).

Results
* M_tot: 0.00 μB/f.u.
* crystal system: trigonal
* SG: P-3m1

Cell lengths 3.424, 3.424, 8.153 Å; angles 90.00, 90.00, 120.00 degrees
Atoms (fractional coordinates):
1 P 0.333 0.667 0.660
2 P 0.667 0.333 0.340
3 As 0.333 0.667 0.177
4 As 0.667 0.333 0.823



<2>
# AsP

AsP after structural relaxation (GGA-PBEsol, Alexandria).

Results
* M_tot: 0.00 μB/f.u.
* crystal system: trigonal
* SG: R-3m

Cell lengths 3.602, 3.602, 6.857 Å; angles 74.77, 74.77, 60.00 degrees
Atoms (fractional coordinates):
1 P 0.622 0.622 0.133
2 P 0.378 0.378 0.867
3 As 0.108 0.108 0.677
4 As 0.892 0.892 0.323



What should be chosen as the most stable of them? Choose <2>.